Entry 1:
K2PmNpO4 after structural relaxation. Source: Alexandria via LeMat-Bulk, functional PBE-GGA.

For the raw formation energy, the calculation gives -19.3 eV per formula unit. Its space-group type is P2/m (10).

Lattice parameters (Å, degrees): 3.5872 6.1996 6.6463 108.31 90.00 90.00
Last column: nearest neighbours and their distance in Å.
Element x y z (fractional)
Np  0.5000  0.5000  0.0000  6 O 2.36
O  0.5000  0.2361  0.1907  1 Np 2.36, 2 Pm 2.41
O  0.0000  0.2783  0.8115  2 Np 2.36, 1 Pm 2.43
O  0.0000  0.7217  0.1885  2 Np 2.36, 1 Pm 2.43
K  0.5000  0.0000  0.5000  6 O 2.87
Pm  0.0000  0.0000  0.0000  6 O 2.41-2.43
K  0.0000  0.5000  0.5000  6 O 2.82-2.83
O  0.5000  0.7639  0.8093  1 Np 2.36, 2 Pm 2.41

Entry 2:
Ti2MnTl2S6 after structural relaxation. Source: Alexandria via LeMat-Bulk, functional PBE-GGA.

For the raw formation energy, the calculation gives -10.1 eV per formula unit. Its space-group type is C2/m (12).

Lattice parameters (Å, degrees): 6.1840 6.1840 7.8246 97.46 97.46 120.35
Last column: nearest neighbours and their distance in Å.
Element x y z (fractional)
Ti  0.3322  0.6678  0.5000  6 S 2.45-2.47
S  0.9394  0.5998  0.3177  2 Ti 2.45, 1 Mn 2.51
S  0.7208  0.7208  0.6804  2 Ti 2.47, 1 Mn 2.49
Tl  0.1645  0.8355  0.0000  6 S 3.15-3.17, 1 Tl 3.53
S  0.2792  0.2792  0.3196  2 Ti 2.47, 1 Mn 2.49
S  0.4002  0.0606  0.6823  2 Ti 2.45, 1 Mn 2.51
Ti  0.6678  0.3322  0.5000  6 S 2.45-2.47
Tl  0.8355  0.1645  0.0000  6 S 3.15-3.17, 1 Tl 3.53
S  0.5998  0.9394  0.3177  2 Ti 2.45, 1 Mn 2.51
S  0.0606  0.4002  0.6823  2 Ti 2.45, 1 Mn 2.51
Mn  0.0000  0.0000  0.5000  6 S 2.49-2.51

Entry 3:
Zr3In after structural relaxation. Source: Alexandria via LeMat-Bulk, functional PBE-GGA.

Its space-group type is Pm-3m (221). For the energy of formation from the pure elements, the calculation gives -5.63 kcal/mol of atoms.

Lattice parameters (Å, degrees): 4.4738 4.4738 4.4738 90.00 90.00 90.00
Last column: nearest neighbours and their distance in Å.
Element x y z (fractional)
Zr  0.5000  0.5000  0.0000  8 Zr 3.16, 4 In 3.16
Zr  0.5000  0.0000  0.5000  8 Zr 3.16, 4 In 3.16
In  0.0000  0.0000  0.0000  12 Zr 3.16
Zr  0.0000  0.5000  0.5000  8 Zr 3.16, 4 In 3.16